(1)
The following is a DFT calculation (PBE-GGA) of a relaxed structure of ScZn2PRu.

Cell lengths 4.7440, 4.7440, 4.3847 Å; angles 90.00, 90.00, 90.00 degrees
Closest atoms and distances in Å follow each position.
Space group P4/mmm (No. 123)
Symmetry-distinct sites (fractional):
Sc: 0.0000 0.0000 0.0000  8 Zn 3.23, 4 P 3.35
Zn: 0.0000 0.5000 0.5000  2 Ru 2.37
P: 0.5000 0.5000 0.0000  2 Ru 2.19
Ru: 0.5000 0.5000 0.5000  2 P 2.19, 4 Zn 2.37

Calculated values
- Magnetization: 0.00 μB/atom
- DFT formation energy: 0.06 eV/atom
- Crystal system: tetragonal
- V: 98.68 Å³ per cell
- Calculated total energy: -4.651 eV per atom

---

(2)
The following is a DFT calculation (PBE-GGA) of a relaxed structure of TlSnHgS.

Cell lengths 3.7158, 3.7177, 9.4526 Å; angles 89.96, 89.89, 60.09 degrees
Closest atoms and distances in Å follow each position.
Space group P1 (No. 1)
Symmetry-distinct sites (fractional):
Tl: 0.0000 0.0000 0.0000  3 S 3.34-3.38, 3 Hg 3.38-3.40, 6 Tl 3.72
Sn: 0.6697 0.6743 0.4399  3 S 2.67
Hg: 0.3366 0.3376 0.7222  3 Tl 3.38-3.40, 3 Sn 3.42-3.43, 6 Hg 3.72
S: 0.3371 0.3406 0.2725  3 Sn 2.67

Calculated values
- Magnetization: 0.00 μB/atom
- Formation energy without anion corrections: -174.8 meV per atom
- Crystal system: triclinic
- V: 113.19 Å³ per cell
- Calculated total energy: -2.874 eV per atom